# 1
# Sc3AlW

A relaxed structure of Sc3AlW (PBE, Alexandria).

Summary:
DFT total energy in eV per atom: -6.482
Space group: Pm-3m (221)
Energy relative to the elements in eV/atom: 0.656

Unit cell a=5.0477 b=5.0477 c=5.0477 alpha=90.00 beta=90.00 gamma=90.00
Closest atoms and distances in Å follow each position.
Sites, in units of the cell vectors:
Sc: 0.0000 0.0000 0.5000  2 W 2.52
Sc: 0.0000 0.5000 0.0000  2 W 2.52
Sc: 0.5000 0.0000 0.0000  2 W 2.52
Al: 0.5000 0.5000 0.5000  12 Sc 3.57
W: 0.0000 0.0000 0.0000  6 Sc 2.52



# 2
# Ba2HgSb3Rh4

A relaxed structure of Ba2HgSb3Rh4 (PBE, Alexandria).

Summary:
Formation energy from raw total energies in meV/atom: -586.1
DFT total energy in eV per atom: -5.178
Space group: P-4m2 (115)

Unit cell a=4.7163 b=4.7163 c=10.6541 alpha=90.00 beta=90.00 gamma=90.00
Closest atoms and distances in Å follow each position.
Sites, in units of the cell vectors:
Ba: 0.0000 0.5000 0.2500  2 Hg 3.56, 7 Sb 3.56-3.96, 8 Rh 3.56-3.57
Ba: 0.5000 0.0000 0.7500  2 Hg 3.56, 7 Sb 3.56-3.96, 8 Rh 3.56-3.57
Hg: 0.0000 0.0000 0.5000  4 Rh 2.74
Sb: 0.0000 0.5000 0.8780  5 Rh 2.64-2.69
Sb: 0.5000 0.0000 0.1220  5 Rh 2.64-2.69
Sb: 0.5000 0.5000 0.5000  4 Rh 2.74
Rh: 0.0000 0.0000 0.0000  4 Sb 2.69
Rh: 0.0000 0.5000 0.6301  3 Sb 2.64-2.74, 2 Hg 2.74
Rh: 0.5000 0.0000 0.3699  3 Sb 2.64-2.74, 2 Hg 2.74
Rh: 0.5000 0.5000 0.0000  4 Sb 2.69



# 3
# SnTe2IF

A relaxed structure of SnTe2IF (PBE, Alexandria).

Summary:
Formation energy from raw total energies in meV/atom: -175.8
DFT total energy in eV per atom: -2.917
Space group: P4/mmm (123)

Unit cell a=4.7653 b=4.7653 c=6.4420 alpha=90.00 beta=90.00 gamma=90.00
Closest atoms and distances in Å follow each position.
Sites, in units of the cell vectors:
Sn: 0.0000 0.0000 0.0000  4 I 3.37
Te: 0.0000 0.5000 0.5000  2 F 2.38
Te: 0.5000 0.0000 0.5000  2 F 2.38
I: 0.5000 0.5000 0.0000  2 F 3.22, 4 Sn 3.37
F: 0.5000 0.5000 0.5000  4 Te 2.38



# 4
# CaMgAlCd

A relaxed structure of CaMgAlCd (PBE, Alexandria).

Summary:
DFT total energy in eV per atom: -2.241
Space group: F-43m (216)
Energy relative to the elements in eV/atom: -0.178

Unit cell a=7.1864 b=7.1864 c=7.1864 alpha=90.00 beta=90.00 gamma=90.00
Closest atoms and distances in Å follow each position.
Sites, in units of the cell vectors:
Ca: 0.0000 0.0000 0.0000  4 Cd 3.11, 4 Al 3.11
Ca: 0.0000 0.5000 0.5000  4 Cd 3.11, 4 Al 3.11
Ca: 0.5000 0.0000 0.5000  4 Cd 3.11, 4 Al 3.11
Ca: 0.5000 0.5000 0.0000  4 Cd 3.11, 4 Al 3.11
Mg: 0.0000 0.0000 0.5000  4 Cd 3.11, 4 Al 3.11
Mg: 0.0000 0.5000 0.0000  4 Al 3.11, 4 Cd 3.11
Mg: 0.5000 0.0000 0.0000  4 Al 3.11, 4 Cd 3.11
Mg: 0.5000 0.5000 0.5000  4 Cd 3.11, 4 Al 3.11
Al: 0.2500 0.2500 0.7500  4 Mg 3.11, 4 Ca 3.11
Al: 0.2500 0.7500 0.2500  4 Mg 3.11, 4 Ca 3.11
Al: 0.7500 0.2500 0.2500  4 Mg 3.11, 4 Ca 3.11
Al: 0.7500 0.7500 0.7500  4 Mg 3.11, 4 Ca 3.11
Cd: 0.2500 0.2500 0.2500  4 Mg 3.11, 4 Ca 3.11
Cd: 0.2500 0.7500 0.7500  4 Mg 3.11, 4 Ca 3.11
Cd: 0.7500 0.2500 0.7500  4 Mg 3.11, 4 Ca 3.11
Cd: 0.7500 0.7500 0.2500  4 Mg 3.11, 4 Ca 3.11



# 5
# PmNdNi

A relaxed structure of PmNdNi (PBE, Alexandria).

Summary:
DFT total energy in eV per atom: -5.298
Space group: Cmcm (63)
Energy relative to the elements in eV/atom: -0.198

Unit cell a=3.8661 b=18.4006 c=4.4361 alpha=90.00 beta=90.00 gamma=90.00
Closest atoms and distances in Å follow each position.
Sites, in units of the cell vectors:
Pm: 0.0000 0.0758 0.2500  6 Ni 2.87-3.02
Pm: 0.0000 0.9242 0.7500  6 Ni 2.87-3.02
Pm: 0.5000 0.4242 0.7500  6 Ni 2.87-3.02
Pm: 0.5000 0.5758 0.2500  6 Ni 2.87-3.02
Nd: 0.0000 0.3041 0.2500  1 Ni 2.88
Nd: 0.0000 0.6959 0.7500  1 Ni 2.88
Nd: 0.5000 0.1959 0.7500  1 Ni 2.88
Nd: 0.5000 0.8041 0.2500  1 Ni 2.88
Ni: 0.0000 0.4605 0.2500  2 Ni 2.65, 2 Pm 2.87, 1 Nd 2.88
Ni: 0.0000 0.5395 0.7500  2 Ni 2.65, 2 Pm 2.87, 1 Nd 2.88
Ni: 0.5000 0.0395 0.7500  2 Ni 2.65, 2 Pm 2.87, 1 Nd 2.88
Ni: 0.5000 0.9605 0.2500  2 Ni 2.65, 2 Pm 2.87, 1 Nd 2.88



# 6
# LiTiBe3

A relaxed structure of LiTiBe3 (PBE, Alexandria).

Summary:
DFT total energy in eV per atom: -3.722
Space group: Pm-3m (221)
Energy relative to the elements in eV/atom: 0.476

Unit cell a=3.7777 b=3.7777 c=3.7777 alpha=90.00 beta=90.00 gamma=90.00
Closest atoms and distances in Å follow each position.
Sites, in units of the cell vectors:
Li: 0.0000 0.0000 0.0000  6 Be 1.89
Ti: 0.5000 0.5000 0.5000  12 Be 2.67
Be: 0.0000 0.0000 0.5000  2 Li 1.89
Be: 0.0000 0.5000 0.0000  2 Li 1.89
Be: 0.5000 0.0000 0.0000  2 Li 1.89



Going through the records in order, we get density of states at the Fermi level values of 1.985 0.990 0.576 0.436 1.144 0.324 states/eV/atom.